AcThRu2 PBE-GGA relaxed; uncorrected energy = -7.56 eV/atom; V = 24.31 Å³ per atom; E_form = -0.037 eV/atom; E above lowest polymorph = 0.1521 eV/atom; total magnetization = 0.0 μB/cell
1.0
2.0439 1.1800 6.7205
-2.0439 1.1800 6.7205
0.0000 -2.3601 6.7205
Ac Th Ru
1 1 2
Direct
0.0000 0.0000 0.0000
0.5000 0.5000 0.5000
0.2435 0.2435 0.2435
0.7565 0.7565 0.7565

=====

Sm2YZn3 PBE-GGA relaxed; uncorrected energy = -3.62 eV/atom; V = 23.72 Å³ per atom; E_form = -0.330 eV/atom; total magnetization = 0.0 μB/cell
1.0
5.1209 0.0000 0.0000
-2.5604 4.4348 0.0000
0.0000 0.0000 6.2668
Sm Y Zn
2 1 3
Direct
0.3333 0.6667 0.1706
0.6667 0.3333 0.8294
0.0000 0.0000 0.5000
0.0000 0.0000 0.0000
0.3333 0.6667 0.6657
0.6667 0.3333 0.3343